Crystalline Ba2AgPt at its relaxed geometry, computed with GGA-PBEsol.

Unit cell a=3.863 b=3.863 c=7.892 alpha=90.00 beta=90.00 gamma=90.00
Space group P4/mmm (No. 123)
Asymmetric unit:
Ba (0.000, 0.000, 0.228) (multiplicity 2)
Ag (0.500, 0.500, 0.500) (multiplicity 1)
Pt (0.500, 0.500, 0.000) (multiplicity 1)

Summary:
Formation energy from the elements in eV/atom: -0.402


Crystalline ZnAgMo2 at its relaxed geometry, computed with GGA-PBEsol.

Unit cell a=4.811 b=4.811 c=2.629 alpha=90.00 beta=90.00 gamma=90.00
Space group P4/mmm (No. 123)
Asymmetric unit:
Zn (0.000, 0.000, 0.000) (multiplicity 1)
Ag (0.500, 0.500, 0.000) (multiplicity 1)
Mo (0.000, 0.500, 0.500) (multiplicity 2)

Summary:
Formation energy from the elements in eV/atom: 0.561


Crystalline ZrTc2P at its relaxed geometry, computed with GGA-PBEsol.

Unit cell a=9.006 b=3.050 c=4.718 alpha=90.00 beta=111.63 gamma=90.00
Space group C2/m (No. 12)
Asymmetric unit:
Zr (0.000, 0.000, 0.000) (multiplicity 2)
Tc (0.219, 0.000, 0.704) (multiplicity 4)
P (0.000, 0.500, 0.500) (multiplicity 2)

Summary:
Formation energy from the elements in eV/atom: -0.395


Crystalline Co3PdRu at its relaxed geometry, computed with GGA-PBEsol.

Unit cell a=4.368 b=4.368 c=4.368 alpha=90.00 beta=90.00 gamma=90.00
Space group Pm-3m (No. 221)
Asymmetric unit:
Co (0.000, 0.000, 0.500) (multiplicity 3)
Pd (0.000, 0.000, 0.000) (multiplicity 1)
Ru (0.500, 0.500, 0.500) (multiplicity 1)

Summary:
Formation energy from the elements in eV/atom: 1.899


Crystalline Cr2CoRe at its relaxed geometry, computed with GGA-PBEsol.

Unit cell a=3.610 b=3.610 c=3.608 alpha=90.00 beta=90.00 gamma=90.00
Space group P4/mmm (No. 123)
Asymmetric unit:
Cr (0.000, 0.500, 0.000) (multiplicity 2)
Co (0.000, 0.000, 0.500) (multiplicity 1)
Re (0.500, 0.500, 0.500) (multiplicity 1)

Summary:
Formation energy from the elements in eV/atom: 0.094


Crystalline CaBeWI2 at its relaxed geometry, computed with GGA-PBEsol.

Unit cell a=5.104 b=5.104 c=4.400 alpha=90.00 beta=90.00 gamma=90.00
Space group P4/mmm (No. 123)
Asymmetric unit:
Ca (0.000, 0.000, 0.000) (multiplicity 1)
Be (0.500, 0.500, 0.500) (multiplicity 1)
W (0.500, 0.500, 0.000) (multiplicity 1)
I (0.000, 0.500, 0.500) (multiplicity 2)

Summary:
Formation energy from raw total energies in eV per atom: 0.78


Crystalline Ca2MnNi at its relaxed geometry, computed with GGA-PBEsol.

Unit cell a=3.5474 b=3.5474 c=26.2559 alpha=90.00 beta=90.00 gamma=120.00
Space group R-3m (No. 166, hexagonal axes)
Asymmetric unit:
Ca (0.0000, 0.0000, 0.2350) (multiplicity 6)
Mn (0.0000, 0.0000, 0.0000) (multiplicity 3)
Ni (0.0000, 0.0000, 0.5000) (multiplicity 3)

Summary:
Formation energy from the elements in eV/atom: 0.631


Crystalline Ge2IrO2 at its relaxed geometry, computed with GGA-PBEsol.

Unit cell a=3.237 b=3.237 c=11.280 alpha=90.00 beta=90.00 gamma=90.00
Space group I4/mmm (No. 139)
Asymmetric unit:
Ge (0.000, 0.000, 0.147) (multiplicity 4)
Ir (0.000, 0.000, 0.500) (multiplicity 2)
O (0.000, 0.500, 0.250) (multiplicity 4)

Summary:
Formation energy from raw total energies in eV per atom: -0.37


Crystalline TlP2HO7 at its relaxed geometry, computed with GGA-PBEsol.

Unit cell a=7.316 b=8.953 c=10.011 alpha=90.00 beta=119.97 gamma=90.00
Space group P2_1/c (No. 14)
Asymmetric unit:
Tl (0.022, 0.209, 0.000) (multiplicity 4)
P (0.061, 0.006, 0.738) (multiplicity 4)
P (0.445, 0.638, 0.273) (multiplicity 4)
H (0.442, 0.572, 0.771) (multiplicity 4)
O (0.010, 0.005, 0.139) (multiplicity 4)
O (0.067, 0.173, 0.707) (multiplicity 4)
O (0.071, 0.084, 0.406) (multiplicity 4)
O (0.297, 0.560, 0.329) (multiplicity 4)
O (0.328, 0.726, 0.674) (multiplicity 4)
O (0.360, 0.180, 0.079) (multiplicity 4)
O (0.481, 0.523, 0.173) (multiplicity 4)

Summary:
Energy in eV per atom: -6.640


Crystalline Li2Ti3SbO8 at its relaxed geometry, computed with GGA-PBEsol.

Unit cell a=5.9149 b=5.9149 c=10.2949 alpha=90.00 beta=90.00 gamma=120.00
Space group P6_3mc (No. 186)
Asymmetric unit:
Li (0.0000, 0.0000, 0.0000) (multiplicity 2)
Li (0.3333, 0.6667, 0.1037) (multiplicity 2)
Ti (0.1700, 0.3399, 0.7765) (multiplicity 6)
Sb (0.3333, 0.6667, 0.4930) (multiplicity 2)
O (0.0000, 0.0000, 0.1804) (multiplicity 2)
O (0.0234, 0.5117, 0.6716) (multiplicity 6)
O (0.1541, 0.3082, 0.3887) (multiplicity 6)
O (0.3333, 0.6667, 0.8824) (multiplicity 2)

Summary:
Formation energy from raw total energies in eV per atom: -2.53


Crystalline YCuRe2 at its relaxed geometry, computed with GGA-PBEsol.

Unit cell a=5.372 b=9.502 c=2.752 alpha=90.00 beta=113.81 gamma=90.00
Space group C2/m (No. 12)
Asymmetric unit:
Y (0.000, 0.000, 0.000) (multiplicity 2)
Cu (0.000, 0.500, 0.000) (multiplicity 2)
Re (0.250, 0.250, 0.500) (multiplicity 4)

Summary:
Excess energy over the best structure of this formula in the dataset in meV/atom: 37
Formation energy from the elements in eV/atom: 0.425


Crystalline Ca2BeTe2 at its relaxed geometry, computed with GGA-PBEsol.

Unit cell a=8.312 b=8.312 c=4.040 alpha=90.00 beta=90.00 gamma=90.00
Space group P4/mbm (No. 127)
Asymmetric unit:
Ca (0.147, 0.353, 0.000) (multiplicity 4)
Be (0.000, 0.000, 0.000) (multiplicity 2)
Te (0.159, 0.659, 0.500) (multiplicity 4)

Summary:
Formation energy from raw total energies in eV per atom: -0.58


Crystalline Dy2AlNi2 at its relaxed geometry, computed with GGA-PBEsol.

Unit cell a=4.149 b=5.296 c=8.145 alpha=90.00 beta=90.00 gamma=90.00
Space group Immm (No. 71)
Asymmetric unit:
Dy (0.000, 0.000, 0.202) (multiplicity 4)
Al (0.000, 0.500, 0.000) (multiplicity 2)
Ni (0.000, 0.266, 0.500) (multiplicity 4)

Summary:
Formation energy from the elements in eV/atom: -0.548


Crystalline PuB4 at its relaxed geometry, computed with GGA-PBEsol.

Unit cell a=7.040 b=7.040 c=3.962 alpha=90.00 beta=90.00 gamma=90.00
Space group P4/mbm (No. 127)
Asymmetric unit:
Pu (0.188, 0.312, 0.000) (multiplicity 4)
B (0.000, 0.000, 0.201) (multiplicity 4)
B (0.039, 0.822, 0.500) (multiplicity 8)
B (0.087, 0.587, 0.500) (multiplicity 4)

Summary:
Formation energy from the elements in eV/atom: -0.433


Crystalline ReIBr3 at its relaxed geometry, computed with GGA-PBEsol.

Unit cell a=5.007 b=5.007 c=5.007 alpha=90.00 beta=90.00 gamma=90.00
Space group Pm-3m (No. 221)
Asymmetric unit:
Re (0.000, 0.000, 0.000) (multiplicity 1)
I (0.500, 0.500, 0.500) (multiplicity 1)
Br (0.000, 0.000, 0.500) (multiplicity 3)

Summary:
Formation energy from raw total energies in eV per atom: 0.42


Crystalline Li4CoNi3P4O16 at its relaxed geometry, computed with GGA-PBEsol.

Unit cell a=4.659 b=5.822 c=9.988 alpha=90.00 beta=90.16 gamma=90.00
Space group Pm (No. 6)
Asymmetric unit:
Li (0.000, 0.249, 0.000) (multiplicity 2)
Li (0.497, 0.251, 0.502) (multiplicity 2)
Co (0.017, 0.000, 0.276) (multiplicity 1)
Ni (0.484, 0.000, 0.774) (multiplicity 1)
Ni (0.512, 0.500, 0.225) (multiplicity 1)
Ni (0.985, 0.500, 0.727) (multiplicity 1)
P (0.072, 0.500, 0.405) (multiplicity 1)
P (0.421, 0.500, 0.905) (multiplicity 1)
P (0.578, 0.000, 0.093) (multiplicity 1)
P (0.918, 0.000, 0.596) (multiplicity 1)
O (0.198, 0.500, 0.549) (multiplicity 1)
O (0.212, 0.290, 0.332) (multiplicity 2)
O (0.247, 0.000, 0.598) (multiplicity 1)
O (0.250, 0.000, 0.095) (multiplicity 1)
O (0.278, 0.290, 0.832) (multiplicity 2)
O (0.299, 0.500, 0.049) (multiplicity 1)
O (0.702, 0.000, 0.949) (multiplicity 1)
O (0.720, 0.210, 0.166) (multiplicity 2)
O (0.743, 0.500, 0.403) (multiplicity 1)
O (0.750, 0.500, 0.902) (multiplicity 1)
O (0.777, 0.211, 0.668) (multiplicity 2)
O (0.794, 0.000, 0.452) (multiplicity 1)

Summary:
Formation energy from raw total energies in eV per atom: -1.85


Crystalline KBa2Sr at its relaxed geometry, computed with GGA-PBEsol.

Unit cell a=4.373 b=6.099 c=8.938 alpha=90.00 beta=90.00 gamma=90.00
Space group Pmm2 (No. 25)
Asymmetric unit:
K (0.000, 0.000, 0.000) (multiplicity 1)
Ba (0.000, 0.000, 0.491) (multiplicity 1)
Ba (0.500, 0.500, 0.739) (multiplicity 1)
Sr (0.500, 0.500, 0.256) (multiplicity 1)

Summary:
Excess energy over the best structure of this formula in the dataset in meV/atom: 32
Formation energy from the elements in eV/atom: 0.085


Crystalline CdTe2 at its relaxed geometry, computed with GGA-PBEsol.

Unit cell a=4.3315 b=4.3315 c=6.1075 alpha=90.00 beta=90.00 gamma=120.00
Space group P-6m2 (No. 187)
Asymmetric unit:
Cd (0.0000, 0.0000, 0.0000) (multiplicity 1)
Te (0.3333, 0.6667, 0.2631) (multiplicity 2)

Summary:
Formation energy from raw total energies in eV per atom: -0.03


Crystalline Ta2TlCd at its relaxed geometry, computed with GGA-PBEsol.

Unit cell a=2.897 b=2.897 c=8.975 alpha=90.00 beta=90.00 gamma=90.00
Space group P4/mmm (No. 123)
Asymmetric unit:
Ta (0.000, 0.000, 0.247) (multiplicity 2)
Tl (0.500, 0.500, 0.500) (multiplicity 1)
Cd (0.500, 0.500, 0.000) (multiplicity 1)

Summary:
Formation energy from the elements in eV/atom: 0.422


Crystalline SmDyRh2 at its relaxed geometry, computed with GGA-PBEsol.

Unit cell a=6.812 b=6.812 c=6.812 alpha=90.00 beta=90.00 gamma=90.00
Space group Fm-3m (No. 225)
Asymmetric unit:
Sm (0.000, 0.000, 0.000) (multiplicity 4)
Dy (0.000, 0.000, 0.500) (multiplicity 4)
Rh (0.250, 0.250, 0.250) (multiplicity 8)

Summary:
Formation energy from the elements in eV/atom: -0.740


Number 1: mass density 8.14 g/cm3. Number 2: mass density 9.96 g/cm3. Number 3: mass density 8.77 g/cm3. Number 4: mass density 7.66 g/cm3. Number 5: mass density 12.33 g/cm3. Number 6: mass density 7.05 g/cm3. Number 7: mass density 3.37 g/cm3. Number 8: mass density 10.38 g/cm3. Number 9: mass density 4.44 g/cm3. Number 10: mass density 4.34 g/cm3. Number 11: mass density 13.56 g/cm3. Number 12: mass density 4.10 g/cm3. Number 13: mass density 8.71 g/cm3. Number 14: mass density 9.72 g/cm3. Number 15: mass density 7.31 g/cm3. Number 16: mass density 3.94 g/cm3. Number 17: mass density 2.80 g/cm3. Number 18: mass density 6.15 g/cm3. Number 19: mass density 14.96 g/cm3. Number 20: mass density 10.90 g/cm3.